Version A
# As2POsBr, relaxed, DFT PBE
data_As2POsBr
_symmetry_space_group_name_H-M 'P 4/m m m'
_symmetry_Int_Tables_number 123
_symmetry_space_group_name_Hall '-P 4 2'
_cell_length_a 4.740
_cell_length_b 4.740
_cell_length_c 4.703
_cell_angle_alpha 90.00
_cell_angle_beta 90.00
_cell_angle_gamma 90.00
loop_
_atom_site_label
_atom_site_type_symbol
_atom_site_fract_x
_atom_site_fract_y
_atom_site_fract_z
_atom_site_occupancy
As1 As 0.000 0.500 0.000 1
P1 P 0.000 0.000 0.000 1
Os1 Os 0.500 0.500 0.500 1
Br1 Br 0.000 0.000 0.500 1
# DOS(E_F), states/eV/f.u.: 3.861
# M_tot, μB/f.u.: 1.9



Version B
# As2POsBr, relaxed, DFT PBE
data_As2POsBr
_symmetry_space_group_name_H-M 'P 4/m m m'
_symmetry_Int_Tables_number 123
_symmetry_space_group_name_Hall '-P 4 2'
_cell_length_a 4.724
_cell_length_b 4.724
_cell_length_c 5.198
_cell_angle_alpha 90.00
_cell_angle_beta 90.00
_cell_angle_gamma 90.00
loop_
_atom_site_label
_atom_site_type_symbol
_atom_site_fract_x
_atom_site_fract_y
_atom_site_fract_z
_atom_site_occupancy
As1 As 0.000 0.500 0.000 1
P1 P 0.000 0.000 0.500 1
Os1 Os 0.500 0.500 0.000 1
Br1 Br 0.500 0.500 0.500 1
# DOS(E_F), states/eV/f.u.: 4.689
# M_tot, μB/f.u.: 0.4



The structure with the least stability is version A.



Version A
# RbAs2OsBr, relaxed, DFT PBE
data_RbAs2OsBr
_symmetry_space_group_name_H-M 'P 4/m m m'
_symmetry_Int_Tables_number 123
_symmetry_space_group_name_Hall '-P 4 2'
_cell_length_a 4.758
_cell_length_b 4.758
_cell_length_c 6.114
_cell_angle_alpha 90.00
_cell_angle_beta 90.00
_cell_angle_gamma 90.00
loop_
_atom_site_label
_atom_site_type_symbol
_atom_site_fract_x
_atom_site_fract_y
_atom_site_fract_z
_atom_site_occupancy
Rb1 Rb 0.000 0.000 0.000 1
As1 As 0.000 0.500 0.500 1
Os1 Os 0.500 0.500 0.500 1
Br1 Br 0.500 0.500 0.000 1
# DOS(E_F), states/eV/f.u.: 3.099
# M_tot, μB/f.u.: 0.0



Version B
# RbAs2OsBr, relaxed, DFT PBE
data_RbAs2OsBr
_symmetry_space_group_name_H-M 'P 4/m m m'
_symmetry_Int_Tables_number 123
_symmetry_space_group_name_Hall '-P 4 2'
_cell_length_a 5.766
_cell_length_b 5.766
_cell_length_c 5.815
_cell_angle_alpha 90.00
_cell_angle_beta 90.00
_cell_angle_gamma 90.00
loop_
_atom_site_label
_atom_site_type_symbol
_atom_site_fract_x
_atom_site_fract_y
_atom_site_fract_z
_atom_site_occupancy
Rb1 Rb 0.000 0.000 0.000 1
As1 As 0.000 0.500 0.000 1
Os1 Os 0.500 0.500 0.500 1
Br1 Br 0.000 0.000 0.500 1
# DOS(E_F), states/eV/f.u.: 7.200
# M_tot, μB/f.u.: 2.7



The structure with the least stability is version B.